[1]
Here is a relaxed NaTc2 crystal from OQMD. Energies are from PBE.

Summary:
Its space group is No. 227. The calculation puts the energy at -3.31 eV/atom. The value obtained for the energy above the most stable polymorph in this dataset is 3249.7 meV/atom.

Lattice parameters (Å, degrees): 9.2032 9.2032 9.2032 60.00 60.00 60.00
Last column: nearest neighbours and their distance in Å.
Sites, in units of the cell vectors:
1 Na 0.1250 0.1250 0.1250  4 Tc 2.82
2 Na 0.8750 0.8750 0.8750  4 Tc 2.82
3 Tc 0.0000 0.0000 0.0000  2 Na 2.82
4 Tc 0.0000 0.0000 0.5000  2 Na 2.82
5 Tc 0.0000 0.5000 0.0000  2 Na 2.82
6 Tc 0.5000 0.0000 0.0000  2 Na 2.82

[2]
Here is a relaxed NbZnB crystal from OQMD. Energies are from PBE.

Summary:
Its space group is No. 216. The calculation puts the energy at -5.12 eV/atom.

Lattice parameters (Å, degrees): 4.0329 4.0329 4.0329 60.00 60.00 60.00
Last column: nearest neighbours and their distance in Å.
Sites, in units of the cell vectors:
1 Nb 0.0000 0.0000 0.0000  4 B 2.47, 4 Zn 2.47
2 Zn 0.7500 0.7500 0.7500  4 Nb 2.47
3 B 0.2500 0.2500 0.2500  4 Nb 2.47

[3]
Here is a relaxed LiNbTlFe crystal from OQMD. Energies are from PBE.

Summary:
Its space group is No. 216. The calculation puts the energy at -5.09 eV/atom. The value obtained for the energy above the most stable polymorph in this dataset is 395.9 meV/atom.

Lattice parameters (Å, degrees): 4.5723 4.5723 4.5723 60.00 60.00 60.00
Last column: nearest neighbours and their distance in Å.
Sites, in units of the cell vectors:
1 Li 0.0000 0.0000 0.0000  4 Fe 2.80, 4 Nb 2.80
2 Nb 0.2500 0.2500 0.2500  4 Tl 2.80, 4 Li 2.80
3 Tl 0.5000 0.5000 0.5000  4 Fe 2.80, 4 Nb 2.80
4 Fe 0.7500 0.7500 0.7500  4 Li 2.80, 4 Tl 2.80

[4]
Here is a relaxed Tm3Co2Sn3Pt crystal from OQMD. Energies are from PBE.

Summary:
Its space group is No. 189. The calculation puts the energy at -5.73 eV/atom.

Lattice parameters (Å, degrees): 7.3702 7.3702 3.8616 90.00 90.00 120.00
Last column: nearest neighbours and their distance in Å.
Sites, in units of the cell vectors:
1 Tm 0.0000 0.4017 0.0000  1 Pt 2.96, 4 Co 2.96, 6 Sn 3.06-3.26
2 Tm 0.4017 0.0000 0.0000  1 Pt 2.96, 4 Co 2.96, 6 Sn 3.06-3.26
3 Tm 0.5983 0.5983 0.0000  1 Pt 2.96, 4 Co 2.96, 6 Sn 3.06-3.26
4 Co 0.3333 0.6667 0.5000  3 Sn 2.69, 6 Tm 2.96
5 Co 0.6667 0.3333 0.5000  3 Sn 2.69, 6 Tm 2.96
6 Sn 0.0000 0.7231 0.5000  2 Co 2.69, 2 Pt 2.81
7 Sn 0.2769 0.2769 0.5000  2 Co 2.69, 2 Pt 2.81
8 Sn 0.7231 0.0000 0.5000  2 Co 2.69, 2 Pt 2.81
9 Pt 0.0000 0.0000 0.0000  6 Sn 2.81, 3 Tm 2.96

[5]
Here is a relaxed LiTm4In5 crystal from OQMD. Energies are from PBE.

Summary:
Its space group is No. 123. The calculation puts the energy at -3.76 eV/atom.

Lattice parameters (Å, degrees): 3.4493 3.4493 20.4300 90.00 90.00 90.00
Last column: nearest neighbours and their distance in Å.
Sites, in units of the cell vectors:
1 Li 0.0000 0.0000 0.0000  8 In 2.92
2 Tm 0.0000 0.0000 0.1838  8 In 3.24-3.25, 4 Tm 3.45
3 Tm 0.0000 0.0000 0.3943  8 In 3.26, 4 Tm 3.45
4 Tm 0.0000 0.0000 0.6057  8 In 3.26, 4 Tm 3.45
5 Tm 0.0000 0.0000 0.8162  8 In 3.24-3.25, 4 Tm 3.45
6 In 0.5000 0.5000 0.0785  4 Li 2.92, 1 In 3.21, 4 Tm 3.25
7 In 0.5000 0.5000 0.2884  8 Tm 3.24-3.26, 4 In 3.45
8 In 0.5000 0.5000 0.5000  8 Tm 3.26, 4 In 3.45
9 In 0.5000 0.5000 0.7116  8 Tm 3.24-3.26, 4 In 3.45
10 In 0.5000 0.5000 0.9215  4 Li 2.92, 1 In 3.21, 4 Tm 3.25

[6]
Here is a relaxed Sm4B2O5 crystal from OQMD. Energies are from PBE.

Summary:
Its space group is No. 12. The calculation puts the energy at -7.42 eV/atom.

Lattice parameters (Å, degrees): 6.2057 6.2057 8.6763 127.74 127.74 33.69
Last column: nearest neighbours and their distance in Å.
Sites, in units of the cell vectors:
1 Sm 0.0574 0.0574 0.3436  6 O 2.46-2.60, 4 B 2.72-2.73
2 Sm 0.3202 0.3202 0.8797  7 O 2.38-2.57
3 Sm 0.6798 0.6798 0.1203  7 O 2.38-2.57
4 Sm 0.9426 0.9426 0.6564  6 O 2.46-2.60, 4 B 2.72-2.73
5 B 0.4116 0.4116 0.3940  2 O 1.48-1.49
6 B 0.5884 0.5884 0.6060  2 O 1.48-1.49
7 O 0.0000 0.0000 0.0000  6 Sm 2.46-2.60
8 O 0.2852 0.2852 0.3908  1 B 1.48
9 O 0.3603 0.3603 0.1859  1 B 1.49
10 O 0.6397 0.6397 0.8141  1 B 1.49
11 O 0.7148 0.7148 0.6092  1 B 1.48

[7]
Here is a relaxed TcPbNO crystal from OQMD. Energies are from PBE.

Summary:
Its space group is No. 129. The calculation puts the energy at -6.63 eV/atom. The value obtained for the energy above the most stable polymorph in this dataset is 439.9 meV/atom.

Lattice parameters (Å, degrees): 4.4286 4.4286 6.7591 90.00 90.00 90.00
Last column: nearest neighbours and their distance in Å.
Sites, in units of the cell vectors:
1 Tc 0.2500 0.2500 0.0251  1 N 1.73
2 Tc 0.7500 0.7500 0.9749  1 N 1.73
3 Pb 0.2500 0.7500 0.5000  4 N 2.66
4 Pb 0.7500 0.2500 0.5000  4 N 2.66
5 N 0.2500 0.2500 0.2817  1 Tc 1.73
6 N 0.7500 0.7500 0.7183  1 Tc 1.73
7 O 0.2500 0.7500 0.0000  4 Tc 2.22
8 O 0.7500 0.2500 0.0000  4 Tc 2.22

[8]
Here is a relaxed Li2HoCuP2 crystal from OQMD. Energies are from PBE.

Summary:
Its space group is No. 164. The calculation puts the energy at -4.59 eV/atom.

Lattice parameters (Å, degrees): 4.0527 4.0527 6.3907 90.00 90.00 120.00
Last column: nearest neighbours and their distance in Å.
Sites, in units of the cell vectors:
1 Li 0.3333 0.6667 0.3542  4 P 2.42-2.50, 3 Cu 2.52
2 Li 0.6667 0.3333 0.6458  4 P 2.42-2.50, 3 Cu 2.52
3 Ho 0.0000 0.0000 0.0000  6 P 2.85
4 Cu 0.0000 0.0000 0.5000  6 Li 2.52, 6 P 2.81
5 P 0.3333 0.6667 0.7447  4 Li 2.42-2.50
6 P 0.6667 0.3333 0.2553  4 Li 2.42-2.50

[9]
Here is a relaxed PaCo2 crystal from OQMD. Energies are from PBE.

Summary:
Its space group is No. 227. The formation energy comes out at 2.190 eV per atom. The calculation puts the energy at -5.71 eV/atom.

Lattice parameters (Å, degrees): 7.3786 7.3786 7.3786 60.00 60.00 60.00
Last column: nearest neighbours and their distance in Å.
Sites, in units of the cell vectors:
1 Pa 0.1250 0.1250 0.1250  4 Co 2.26
2 Pa 0.8750 0.8750 0.8750  4 Co 2.26
3 Co 0.0000 0.0000 0.0000  2 Pa 2.26
4 Co 0.0000 0.0000 0.5000  2 Pa 2.26
5 Co 0.0000 0.5000 0.0000  2 Pa 2.26
6 Co 0.5000 0.0000 0.0000  2 Pa 2.26

[10]
Here is a relaxed HfTc2Mo crystal from OQMD. Energies are from PBE.

Summary:
Its space group is No. 123. The formation energy comes out at -0.291 eV per atom. The calculation puts the energy at -10.67 eV/atom. The value obtained for the energy above the most stable polymorph in this dataset is 2.9 meV/atom.

Lattice parameters (Å, degrees): 3.1748 3.1748 6.4212 90.00 90.00 90.00
Last column: nearest neighbours and their distance in Å.
Sites, in units of the cell vectors:
1 Hf 0.0000 0.0000 0.0000  8 Tc 2.80
2 Tc 0.5000 0.5000 0.2618  4 Mo 2.72, 4 Hf 2.80
3 Tc 0.5000 0.5000 0.7382  4 Mo 2.72, 4 Hf 2.80
4 Mo 0.0000 0.0000 0.5000  8 Tc 2.72